(1)
{"formula": "BaCrHg", "functional": "GGA-PBE", "state": "relaxed", "dos_at_fermi_per_ev_atom": 0.831, "e_form_ev_per_fu": 2.12, "e_above_lowest_polymorph_ev_per_atom": 0.492, "lattice_angstrom": [[-4.592, 2.966, -1.067], [-4.664, -2.575, -1.626], [-4.367, -0.291, 3.446]], "species": ["Cr", "Hg", "Ba"], "frac_coords": [[0.000, 0.000, 0.000], [0.500, 0.500, 0.500], [0.250, 0.250, 0.250]]}



(2)
{"formula": "LiSmGe2Pd", "functional": "GGA-PBE", "state": "relaxed", "dos_at_fermi_per_ev_atom": 0.489, "e_form_ev_per_fu": -3.81, "lattice_angstrom": [[4.132, 0.000, 0.000], [0.000, 4.132, 0.000], [-2.066, -2.066, 5.443]], "species": ["Ge", "Ge", "Sm", "Li", "Pd"], "frac_coords": [[0.614, 0.614, 0.227], [0.386, 0.386, 0.773], [0.000, 0.000, 0.000], [0.250, 0.750, 0.500], [0.750, 0.250, 0.500]]}